Record 1
{
  "formula": "Na13Pb2",
  "functional": "PBE",
  "state": "relaxed",
  "n_ef_per_ev_atom": 0.49,
  "final_energy_ev_per_cell": -24.76,
  "relative_energy_ev_per_atom": 0.0466,
  "cell": [[4.696, 2.711, 7.149], [-4.696, 2.711, 7.149], [0.000, -5.423, 7.149]],
  "species": ["Na", "Na", "Na", "Na", "Na", "Na", "Na", "Na", "Na", "Na", "Na", "Na", "Na", "Pb", "Pb"],
  "frac_coords": [[0.000, 0.000, 0.000], [0.121, 0.121, 0.513], [0.121, 0.513, 0.121], [0.303, 0.303, 0.691], [0.303, 0.691, 0.303], [0.309, 0.697, 0.697], [0.487, 0.879, 0.879], [0.513, 0.121, 0.121], [0.691, 0.303, 0.303], [0.697, 0.309, 0.697], [0.697, 0.697, 0.309], [0.879, 0.487, 0.879], [0.879, 0.879, 0.487], [0.140, 0.140, 0.140], [0.860, 0.860, 0.860]]
}

Record 2
{
  "formula": "Na8Pb",
  "functional": "PBE",
  "state": "relaxed",
  "n_ef_per_ev_atom": 0.38,
  "final_energy_ev_per_cell": -14.63,
  "cell": [[-5.435, 5.435, 2.560], [5.435, -5.435, 2.560], [5.435, 5.435, -2.560]],
  "species": ["Na", "Na", "Na", "Na", "Na", "Na", "Na", "Na", "Pb"],
  "frac_coords": [[0.000, 0.323, 0.323], [0.000, 0.677, 0.677], [0.323, 0.000, 0.323], [0.345, 0.345, 0.689], [0.345, 0.655, 0.000], [0.655, 0.345, 0.000], [0.655, 0.655, 0.311], [0.677, 0.000, 0.677], [0.000, 0.000, 0.000]]
}

Record 3
{
  "formula": "NaPb5",
  "functional": "PBE",
  "state": "relaxed",
  "n_ef_per_ev_atom": 0.66,
  "final_energy_ev_per_cell": -20.06,
  "cell": [[2.918, -5.496, 0.000], [2.918, 5.496, 0.000], [0.000, 0.000, 5.775]],
  "species": ["Na", "Pb", "Pb", "Pb", "Pb", "Pb"],
  "frac_coords": [[0.000, 0.000, 0.000], [0.163, 0.837, 0.500], [0.326, 0.674, 0.000], [0.500, 0.500, 0.500], [0.674, 0.326, 0.000], [0.837, 0.163, 0.500]]
}

Record 4
{
  "formula": "NaPb",
  "functional": "PBE",
  "state": "relaxed",
  "final_energy_ev_per_cell": -19.70,
  "cell": [[-4.822, 4.822, 4.822], [4.822, -4.822, 4.822], [4.822, 4.822, -4.822]],
  "species": ["Na", "Na", "Na", "Na", "Pb", "Pb", "Pb", "Pb"],
  "frac_coords": [[0.000, 0.000, 0.600], [0.000, 0.600, 0.000], [0.400, 0.400, 0.400], [0.600, 0.000, 0.000], [0.000, 0.000, 0.229], [0.000, 0.229, 0.000], [0.229, 0.000, 0.000], [0.771, 0.771, 0.771]]
}

Record 5
{
  "formula": "NaPd3Pb2",
  "functional": "PBE",
  "state": "relaxed",
  "n_ef_per_ev_atom": 0.69,
  "final_energy_ev_per_cell": -51.15,
  "relative_energy_ev_per_atom": 0.0474,
  "cell": [[-4.432, 5.125, 2.954], [4.432, -5.125, 2.954], [4.432, 5.125, -2.954]],
  "species": ["Na", "Na", "Pd", "Pd", "Pd", "Pd", "Pd", "Pd", "Pb", "Pb", "Pb", "Pb"],
  "frac_coords": [[0.499, 0.249, 0.250], [0.501, 0.751, 0.750], [0.000, 0.000, 0.500], [0.000, 0.250, 0.250], [0.000, 0.500, 0.000], [0.000, 0.750, 0.750], [0.500, 0.250, 0.750], [0.500, 0.750, 0.250], [0.166, 0.750, 0.417], [0.167, 0.250, 0.917], [0.833, 0.750, 0.083], [0.834, 0.250, 0.583]]
}

Record 6
{
  "formula": "Na3Pd2Pb3",
  "functional": "PBE",
  "state": "relaxed",
  "n_ef_per_ev_atom": 0.47,
  "final_energy_ev_per_cell": -26.91,
  "relative_energy_ev_per_atom": 0.0333,
  "cell": [[8.148, 0.000, 0.000], [-4.074, 7.056, 0.000], [0.000, 0.000, 3.340]],
  "species": ["Na", "Na", "Na", "Pd", "Pd", "Pb", "Pb", "Pb"],
  "frac_coords": [[0.000, 0.754, 0.000], [0.246, 0.246, 0.000], [0.754, 0.000, 0.000], [0.333, 0.667, 0.000], [0.667, 0.333, 0.000], [0.000, 0.400, 0.500], [0.400, 0.000, 0.500], [0.600, 0.600, 0.500]]
}

Repeat the fourth record exactly.
{
  "formula": "NaPb",
  "functional": "PBE",
  "state": "relaxed",
  "final_energy_ev_per_cell": -19.70,
  "cell": [[-4.822, 4.822, 4.822], [4.822, -4.822, 4.822], [4.822, 4.822, -4.822]],
  "species": ["Na", "Na", "Na", "Na", "Pb", "Pb", "Pb", "Pb"],
  "frac_coords": [[0.000, 0.000, 0.600], [0.000, 0.600, 0.000], [0.400, 0.400, 0.400], [0.600, 0.000, 0.000], [0.000, 0.000, 0.229], [0.000, 0.229, 0.000], [0.229, 0.000, 0.000], [0.771, 0.771, 0.771]]
}